SiHgAs2 | PBE | optimized geometry

Values from the calculation:
* total magnetization: 0.00 Bohr magnetons per cell
* space group: P4/mmm, No. 123
* energy relative to the elements, uncorrected: 1.591 eV per formula unit

a b c (Å): 2.994 2.994 9.866
angles (deg): 90.00 90.00 90.00
Fractional positions:
As 0.000 0.000 0.927
Si 0.500 0.500 0.750
As 0.000 0.000 0.573
Hg 0.500 0.500 0.250

TbPrAlCd | PBE | optimized geometry

Values from the calculation:
* total magnetization: 0.00 Bohr magnetons per cell
* uncorrected energy: -0.1415 Ha/atom
* space group: F-43m, No. 216

a b c (Å): 5.322 5.322 5.322
angles (deg): 60.00 60.00 60.00
Fractional positions:
Pr 0.000 0.000 0.000
Al 0.250 0.250 0.250
Tb 0.500 0.500 0.500
Cd 0.750 0.750 0.750

TiHgNO2 | PBE | optimized geometry

Values from the calculation:
* total magnetization: 0.67 Bohr magnetons per cell
* space group: P4/mmm, No. 123
* energy relative to the elements, uncorrected: 3.889 eV per formula unit

a b c (Å): 4.148 4.148 4.135
angles (deg): 90.00 90.00 90.00
Fractional positions:
Ti 0.500 0.500 0.500
N 0.000 0.000 0.500
O 0.500 0.000 0.000
Hg 0.000 0.000 0.000
O 0.000 0.500 0.000

YBeP2Cl | PBE | optimized geometry

Values from the calculation:
* total magnetization: 0.90 Bohr magnetons per cell
* space group: P4/mmm, No. 123
* energy relative to the elements, uncorrected: 2.716 eV per formula unit

a b c (Å): 5.383 5.383 5.118
angles (deg): 90.00 90.00 90.00
Fractional positions:
Y 0.000 0.000 0.000
P 0.500 0.000 0.000
P 0.000 0.500 0.000
Cl 0.000 0.000 0.500
Be 0.500 0.500 0.500

BiPd2S | PBE | optimized geometry

Values from the calculation:
* total magnetization: 0.00 Bohr magnetons per cell
* space group: C2, No. 5
* energy relative to the elements, uncorrected: -0.721 eV per formula unit

a b c (Å): 3.672 3.672 6.576
angles (deg): 106.14 106.14 90.02
Fractional positions:
S 0.471 0.632 0.728
Pd 0.843 0.503 0.472
Pd 0.600 0.260 0.984
Bi 0.222 0.881 0.228

TaZn2W | PBE | optimized geometry

Values from the calculation:
* total magnetization: 0.00 Bohr magnetons per cell
* uncorrected energy: -0.2453 Ha/atom
* space group: C2/m, No. 12

a b c (Å): 5.050 5.050 2.722
angles (deg): 87.03 87.03 114.81
Fractional positions:
W 0.000 0.500 0.500
Zn 0.500 0.500 0.000
Zn 0.000 0.000 0.000
Ta 0.500 0.000 0.500

PmNd2HfAs4 | PBE | optimized geometry

Values from the calculation:
* total magnetization: 0.00 Bohr magnetons per cell
* uncorrected energy: -0.2471 Ha/atom
* space group: P2/m, No. 10

a b c (Å): 4.137 7.173 7.178
angles (deg): 109.21 90.00 90.00
Fractional positions:
Nd 0.500 0.000 0.500
Pm 0.500 0.500 0.000
As 0.000 0.240 0.762
Hf 0.000 0.000 0.000
As 0.500 0.231 0.229
As 0.500 0.769 0.771
Nd 0.000 0.500 0.500
As 0.000 0.760 0.238

Rb3Hg5F12 | PBE | optimized geometry

Values from the calculation:
* total magnetization: 0.00 Bohr magnetons per cell
* space group: Ia-3d, No. 230
* energy relative to the elements, uncorrected: -35.463 eV per formula unit

a b c (Å): 12.971 12.971 12.971
angles (deg): 109.47 109.47 109.47
Fractional positions:
F 0.700 0.118 0.025
F 0.382 0.407 0.082
F 0.800 0.325 0.918
F 0.082 0.907 0.382
F 0.093 0.175 0.475
F 0.700 0.582 0.175
F 0.118 0.700 0.525
Hg 0.625 0.875 0.250
F 0.907 0.825 0.525
Hg 0.000 0.000 0.500
F 0.118 0.418 0.093
F 0.475 0.800 0.882
Rb 0.125 0.875 0.750
F 0.975 0.593 0.175
Rb 0.375 0.625 0.250
Hg 0.000 0.500 0.000
Rb 0.750 0.875 0.625
F 0.675 0.200 0.582
F 0.093 0.918 0.118
Hg 0.500 0.500 0.500
Rb 0.250 0.625 0.875
Hg 0.250 0.875 0.125
Rb 0.750 0.375 0.125
F 0.325 0.525 0.407
F 0.582 0.882 0.407
F 0.382 0.975 0.800
F 0.407 0.025 0.325
F 0.082 0.175 0.200
F 0.525 0.200 0.118
Rb 0.625 0.250 0.375
F 0.025 0.407 0.825
Rb 0.375 0.750 0.625
F 0.300 0.882 0.975
F 0.907 0.082 0.882
F 0.882 0.582 0.907
F 0.175 0.093 0.975
Hg 0.875 0.625 0.750
Hg 0.375 0.125 0.750
F 0.418 0.300 0.325
F 0.025 0.618 0.700
F 0.300 0.418 0.825
Hg 0.875 0.250 0.625
F 0.882 0.300 0.475
Hg 0.625 0.750 0.875
F 0.407 0.382 0.582
F 0.200 0.675 0.082
F 0.975 0.382 0.300
Rb 0.875 0.125 0.250
F 0.825 0.907 0.025
F 0.618 0.593 0.918
F 0.618 0.025 0.200
Hg 0.375 0.250 0.125
F 0.825 0.918 0.300
F 0.418 0.118 0.593
F 0.582 0.700 0.675
F 0.800 0.475 0.382
F 0.175 0.082 0.700
Hg 0.125 0.750 0.375
Rb 0.875 0.750 0.125
Hg 0.750 0.625 0.375
F 0.675 0.475 0.593
F 0.200 0.525 0.618
Hg 0.500 0.000 0.000
F 0.475 0.675 0.093
Hg 0.125 0.375 0.250
F 0.525 0.325 0.907
Rb 0.250 0.125 0.375
F 0.918 0.093 0.618
Rb 0.125 0.250 0.875
Hg 0.500 0.500 0.000
F 0.918 0.825 0.800
Hg 0.500 0.000 0.500
Hg 0.000 0.000 0.000
Hg 0.000 0.500 0.500
F 0.593 0.618 0.418
Hg 0.250 0.375 0.625
F 0.325 0.800 0.418
Hg 0.750 0.125 0.875
Rb 0.625 0.375 0.750
F 0.593 0.975 0.675